Entry from Alexandria: a relaxed structure of Sc2CrW (PBE).

Calculated values
- Energy of formation from the pure elements: 0.3977 eV/atom
- DFT total energy: -8.4122 eV per atom
- Energy above the lowest structure with this stoichiometry: 274 meV per atom

a b c (Å): 4.2865 4.2865 6.2710
angles (deg): 94.65 94.65 41.49
With the nearest neighbours (Å) after each atom.
Positions (direct):
Sc  0.0000  0.0000  0.0000  3 Cr 2.67-2.84, 1 Sc 2.91, 2 W 2.97
Sc  0.2253  0.2253  0.6595  3 W 2.69-2.88, 1 Sc 2.91, 2 Cr 3.01
Cr  0.7451  0.7451  0.2482  3 W 2.43-2.53, 1 Sc 2.67
W  0.4767  0.4767  0.4026  3 Cr 2.43-2.53, 1 Sc 2.69